[1]
A plane-wave DFT calculation with PBE-GGA was carried out for a relaxed Ba2InSi3Au4 crystal.

The space group is P-4m2 (No. 115) and the conventional cell measures 4.625, 4.625 and 10.767 Å, with angles of 90.00, 90.00 and 90.00 degrees. The distinct sites, in fractional coordinates, are Ba at (0.000, 0.500, 0.242), In at (0.000, 0.000, 0.500), Si at (0.000, 0.500, 0.882), Si at (0.500, 0.500, 0.500), Au at (0.000, 0.000, 0.000), Au at (0.000, 0.500, 0.645) and Au at (0.500, 0.500, 0.000).

The calculation puts the total moment at 0.000 μB per formula unit. The calculation puts the volume at 23.032 A^3/atom. The value obtained for the total energy is -4.039 eV/atom.

[2]
A plane-wave DFT calculation with PBE-GGA was carried out for a relaxed CoP2Se crystal.

The space group is Immm (No. 71) and the conventional cell measures 2.703, 4.477 and 10.060 Å, with angles of 90.00, 90.00 and 90.00 degrees. The distinct sites, in fractional coordinates, are Co at (0.000, 0.000, 0.000), P at (0.000, 0.500, 0.314) and Se at (0.000, 0.000, 0.500).

The calculation puts the total moment at 0.000 μB per formula unit. The calculation puts the volume at 15.218 A^3/atom. The value obtained for the total energy is -5.079 eV/atom.

[3]
A plane-wave DFT calculation with PBE-GGA was carried out for a relaxed HgP8 crystal.

The space group is I4/mmm (No. 139) and the conventional cell measures 9.089, 9.089 and 4.211 Å, with angles of 90.00, 90.00 and 90.00 degrees. The distinct sites, in fractional coordinates, are Hg at (0.000, 0.000, 0.000), P at (0.000, 0.375, 0.000) and P at (0.211, 0.211, 0.000).

The calculation puts the total moment at 0.000 μB per formula unit. The calculation puts the volume at 19.327 A^3/atom. Its formation enthalpy at 0 K is 0.4404 eV/atom. The value obtained for the total energy is -4.402 eV/atom.

[4]
A plane-wave DFT calculation with PBE-GGA was carried out for a relaxed KMnAgS2 crystal.

The space group is Cmme (No. 67) and the conventional cell measures 6.096, 13.738 and 5.930 Å, with angles of 90.00, 90.00 and 90.00 degrees. The distinct sites, in fractional coordinates, are K at (0.000, 0.250, 0.244), Mn at (0.250, 0.000, 0.500), Ag at (0.000, 0.000, 0.000) and S at (0.000, 0.112, 0.695).

The calculation puts the total moment at 5.001 μB per formula unit. The calculation puts the volume at 24.833 A^3/atom. The value obtained for the total energy is -4.921 eV/atom.

> Which value of total energy does entry 4 give?

-4.921 eV/atom

> Look up the total energy of the third one.

-4.402 eV/atom